1.
The following is a PBE-GGA calculation of an optimized crystal structure of K2BeCr, from the Alexandria database.

abc: 4.7679 4.7679 10.7458
angles: 90.00 90.00 90.00
Closest atoms and distances in Å follow each position.
Space group I4/mmm (No. 139)
One atom of each set of equivalent atoms:
K: 0.0000 0.5000 0.2500  4 K 3.37, 4 Cr 3.59, 4 Be 3.59
Be: 0.0000 0.0000 0.0000  4 Cr 3.37, 8 K 3.59
Cr: 0.0000 0.0000 0.5000  4 Be 3.37, 8 K 3.59

Summary:
For the volume, the calculation gives 30.54 A^3/atom. Its formation energy is 1205 meV per atom. The magnetization is 1.170 μB per atom.

2.
The following is a PBE-GGA calculation of an optimized crystal structure of InCuPb2, from the Alexandria database.

abc: 6.6376 8.6835 3.5822
angles: 90.00 90.98 90.00
Closest atoms and distances in Å follow each position.
Space group C2/m (No. 12)
One atom of each set of equivalent atoms:
In: 0.0000 0.0000 0.0000  8 Pb 3.25-3.28, 2 Cu 3.32, 2 In 3.58
Cu: 0.0000 0.5000 0.0000  8 Pb 3.25-3.28, 2 In 3.32, 2 Cu 3.58
Pb: 0.2500 0.2500 0.5000  4 In 3.25-3.28, 4 Cu 3.25-3.28, 4 Pb 3.32-3.58

Summary:
For the volume, the calculation gives 25.81 A^3/atom. Its formation energy is 259 meV per atom. The magnetization is 0.000 μB per atom.

3.
The following is a PBE-GGA calculation of an optimized crystal structure of YMo, from the Alexandria database.

abc: 3.4523 15.1764 5.1897
angles: 90.00 90.00 90.00
Closest atoms and distances in Å follow each position.
Space group Cmmm (No. 65)
One atom of each set of equivalent atoms:
Y: 0.0000 0.0000 0.0000  8 Mo 3.12-3.39, 2 Y 3.45
Y: 0.0000 0.1569 0.5000  6 Mo 2.94-3.16
Mo: 0.0000 0.3077 0.0000  2 Mo 2.46
Mo: 0.0000 0.5000 0.5000  8 Y 2.94-3.12

Summary:
For the volume, the calculation gives 22.66 A^3/atom. For the energy above the most stable polymorph in this dataset, the calculation gives 0.43 eV per formula unit. Its formation energy is 351 meV per atom. The magnetization is 0.216 μB per atom.

4.
The following is a PBE-GGA calculation of an optimized crystal structure of KFe3, from the Alexandria database.

abc: 8.1677 2.8025 7.0170
angles: 90.00 93.77 90.00
Closest atoms and distances in Å follow each position.
Space group C2/m (No. 12)
One atom of each set of equivalent atoms:
K: 0.0000 0.0000 0.0000  2 K 2.80
Fe: 0.0000 0.5000 0.5000  6 Fe 2.44-2.48
Fe: 0.2311 0.0000 0.6331  5 Fe 2.37-2.48

Summary:
For the volume, the calculation gives 20.03 A^3/atom. Its formation energy is 726 meV per atom. The magnetization is 2.018 μB per atom.